The following is a GGA+U calculation of an optimized crystal structure of Ac2CrF8, from Alexandria.

As for the total energy: -71.44 eV for the cell shown.

Cell: 4.3395 5.4488 7.4323 Å, 111.67 106.98 90.01°
Last column: nearest neighbours and their distance in Å.
Atoms (fractional coordinates):
1 F 0.7820 0.7238 0.5640  3 Ac 2.52-2.71, 4 F 2.56-2.79
2 F 0.2180 0.2762 0.4360  3 Ac 2.52-2.71, 4 F 2.56-2.79
3 F 0.3575 0.0638 0.7154  1 Cr 2.18
4 F 0.6425 0.9362 0.2846  1 Cr 2.18
5 F 0.5961 0.3894 0.1925  1 Cr 2.03
6 F 0.9922 0.2436 0.9850  2 Ac 2.43-2.58, 2 Cr 2.57, 2 F 2.57
7 F 0.0078 0.7564 0.0150  2 Ac 2.43-2.58, 2 Cr 2.57, 2 F 2.57
8 F 0.4039 0.6106 0.8075  1 Cr 2.03
9 Cr 0.5000 0.0000 0.0000  4 F 2.03-2.18
10 Ac 0.8396 0.3398 0.6791  9 F 2.43-2.71
11 Ac 0.1604 0.6602 0.3209  9 F 2.43-2.71